No. 1
ZnTeP: relaxed, PBE-GGA.

a = 4.2536 Å, b = 5.8572 Å, c = 6.8754 Å
α = 81.75°, β = 75.37°, γ = 69.88°
Fractional positions:
Zn  0.0958  0.6936  0.6188
Zn  0.9042  0.3064  0.3812
Te  0.0224  0.7202  0.2098
Te  0.9776  0.2798  0.7902
P  0.5377  0.0911  0.3501
P  0.4623  0.9089  0.6499

Output
SG: P-1, No. 2
E_form (uncorrected): -0.074 eV/atom
excess energy over the best structure of this formula in the dataset: 50 meV/atom

---

No. 2
CrRh2Se: relaxed, PBE-GGA.

a = 2.9140 Å, b = 2.9140 Å, c = 6.6297 Å
α = 90.00°, β = 90.00°, γ = 89.99°
Fractional positions:
Cr  0.5000  0.5000  0.7343
Rh  0.0000  0.0000  0.9750
Rh  0.5000  0.5000  0.2726
Se  0.0000  0.0000  0.5181

Output
SG: P4mm, No. 99
E_form (uncorrected): 0.107 eV/atom
Fermi-level density of states: 5.14 states/eV per cell

---

No. 3
Pa4NiB3Rh12: relaxed, PBE-GGA.

a = 7.4350 Å, b = 7.4350 Å, c = 7.4350 Å
α = 109.47°, β = 109.47°, γ = 109.47°
Each line ends with the local moment (μB).
Fractional positions:
Pa  0.5000  0.5000  0.5000  0.20
Pa  0.0000  0.0000  0.5000  0.20
Pa  0.5000  0.0000  0.0000  0.20
Pa  0.0000  0.5000  0.0000  0.20
Ni  0.0000  0.0000  0.0000  -0.04
B  0.5000  0.0000  0.5000  0.00
B  0.5000  0.5000  0.0000  0.00
B  0.0000  0.5000  0.5000  0.00
Rh  0.2500  0.5000  0.7500  0.00
Rh  0.7292  0.0000  0.7292  -0.01
Rh  0.2708  0.0000  0.2708  -0.01
Rh  0.7500  0.5000  0.2500  0.00
Rh  0.7292  0.7292  0.0000  -0.01
Rh  0.2708  0.2708  0.0000  -0.01
Rh  0.7500  0.2500  0.5000  0.00
Rh  0.2500  0.7500  0.5000  0.00
Rh  0.5000  0.2500  0.7500  0.00
Rh  0.0000  0.7292  0.7292  -0.01
Rh  0.5000  0.7500  0.2500  0.00
Rh  0.0000  0.2708  0.2708  -0.01

Output
calculated formation energy: -592 meV per atom
SG: Im-3m, No. 229
Fermi-level density of states: 14.01 states/eV per cell

---

No. 4
K2Fe2As2N: relaxed, PBE-GGA.

a = 3.9171 Å, b = 5.8124 Å, c = 7.1093 Å
α = 73.84°, β = 74.01°, γ = 70.31°
Fractional positions:
K  0.5627  0.2062  0.6685
K  0.4373  0.7938  0.3315
Fe  0.1714  0.7067  0.9506
Fe  0.8286  0.2933  0.0494
As  0.2078  0.3676  0.2169
As  0.7922  0.6324  0.7831
N  0.0000  0.0000  0.0000

Output
SG: C2/m, No. 12
E_form (uncorrected): -0.307 eV/atom
Fermi-level density of states: 2.73 states/eV per cell

---

no.,calculated total energy (eV/cell)
1,-20.09
2,-27.38
3,-163.86
4,-38.89